Record 1
13
Lattice="-1.599 -3.996 1.826 2.964 -1.461 5.383 -4.830 1.001 3.946" Properties=species:S:1:pos:R:3 comment="PmCo4Ni8 PBE optimized geometry" ef_mev_per_atom=-57 pbc="T T T"
Co -2.415 0.501 1.973
Co -3.214 -1.497 2.886
Co 1.482 -0.730 2.692
Co 0.683 -2.728 3.605
Ni -0.860 -1.201 2.604
Ni 0.189 -0.584 4.872
Ni -1.770 -1.719 6.658
Ni 0.408 -2.904 5.973
Ni -1.694 -2.737 4.498
Ni -2.605 -3.255 8.551
Ni -3.872 -1.552 5.183
Ni -2.054 0.124 4.458
Pm 0.000 0.000 0.000

=====

Record 2
5
Lattice="4.951 0.000 0.000 2.476 5.324 -0.308 2.476 1.270 5.180" Properties=species:S:1:pos:R:3 comment="Ca3Ga2 PBE optimized geometry" ef_mev_per_atom=-383 pbc="T T T"
Ca 7.427 4.661 3.443
Ca 0.000 0.000 0.000
Ca 2.476 1.933 1.428
Ga 4.951 4.060 1.404
Ga 4.951 2.535 3.468

=====

Record 3
8
Lattice="-2.845 -1.562 -4.444 1.011 -5.273 1.206 -3.572 -3.529 0.120" Properties=species:S:1:pos:R:3 comment="ZnPtO2 PBE optimized geometry" raw_formation_energy_ev_per_atom=-0.333 pbc="T T T"
Pt 0.000 0.000 0.000
Pt -3.667 -4.254 -2.971
O -4.300 -8.540 -2.763
O -3.350 -5.297 -1.104
O -2.498 -2.492 -2.523
O -0.663 -4.399 0.155
Zn -0.917 -3.417 -1.619
Zn -1.739 -6.110 -0.146

=====

Record 4
5
Lattice="-1.436 -3.055 -2.601 0.870 -2.934 2.966 -3.917 0.469 1.612" Properties=species:S:1:pos:R:3 comment="SrHPt3 PBE optimized geometry" e_above_lowest_polymorph_mev_per_atom=0 pbc="T T T"
Pt 0.435 -1.467 1.483
Pt -0.718 -1.527 -1.301
Pt -1.958 0.234 0.806
H 0.000 0.000 0.000
Sr -2.242 -2.760 0.988

=====

Record 5
12
Lattice="-3.828 3.723 -1.286 -1.490 -5.090 1.429 -0.333 2.002 6.786" Properties=species:S:1:pos:R:3 comment="LaAs2PtO8 PBE optimized geometry" raw_formation_energy_ev_per_atom=-1.387 pbc="T T T"
O -3.530 2.755 0.551
O -2.121 -2.120 6.377
O -1.506 0.786 1.231
O -1.333 0.571 5.622
O -2.432 -1.173 3.844
O -4.145 -0.152 5.697
O -3.219 1.808 3.084
O -4.318 0.064 1.306
As -2.512 -0.693 5.472
As -3.139 1.328 1.457
Pt 0.000 0.000 0.000
La -0.166 1.001 3.393

=====

Record 6
3
Lattice="5.671 -0.127 0.137 4.879 2.894 0.127 0.792 0.218 3.013" Properties=species:S:1:pos:R:3 comment="BeInAg PBE optimized geometry" e_above_lowest_polymorph_mev_per_atom=70 ef_mev_per_atom=312 pbc="T T T"
Ag 1.106 0.300 2.925
Be 7.099 1.866 1.237
In 3.930 1.038 2.129

=====

Record 7
5
Lattice="4.547 0.000 0.000 0.000 4.547 0.000 0.000 0.000 4.393" Properties=species:S:1:pos:R:3 comment="TlTeOF2 PBE optimized geometry" raw_formation_energy_ev_per_atom=-0.634 e_above_lowest_polymorph_mev_per_atom=636 pbc="T T T"
F 0.000 2.273 0.000
F 2.273 0.000 0.000
Te 2.273 2.273 2.196
Tl 0.000 0.000 0.000
O 0.000 0.000 2.196

=====

Record 8
4
Lattice="-2.235 -4.273 1.784 -1.298 -3.769 -3.246 2.599 -4.436 0.041" Properties=species:S:1:pos:R:3 comment="LiYScTl PBE optimized geometry" ef_mev_per_atom=-195 pbc="T T T"
Tl -0.467 -6.239 -0.711
Sc -0.234 -3.120 -0.356
Li 0.000 0.000 0.000
Y -0.701 -9.359 -1.067

=====

Record 9
11
Lattice="-3.115 4.365 -5.795 2.716 -7.731 -1.905 -9.041 0.094 4.931" Properties=species:S:1:pos:R:3 comment="Cs2KCu2I6 PBE optimized geometry" raw_formation_energy_ev_per_atom=-0.879 pbc="T T T"
I 0.137 -5.870 -1.886
I -6.617 -0.692 -2.343
I -1.374 -3.752 -4.698
I -9.577 2.599 -0.883
I -2.823 -2.580 -0.426
I -8.066 0.481 1.929
Cu -2.120 -0.499 0.764
Cu -7.320 -2.773 -3.533
K -6.078 2.230 -0.432
Cs -6.463 -3.255 1.022
Cs -2.977 -0.017 -3.791

=====

Record 10
16
Lattice="6.568 -0.014 0.000 0.014 6.568 0.000 0.000 0.000 6.587" Properties=species:S:1:pos:R:3 comment="Nb14TcW PBE optimized geometry" ef_mev_per_atom=-73 pbc="T T T"
Tc 2.468 2.458 3.294
Nb 0.831 0.827 4.907
Nb 4.106 4.089 4.907
Nb 2.468 2.458 0.000
Nb 5.760 5.735 0.000
Nb 2.475 5.742 3.294
Nb 5.753 2.451 0.000
Nb 5.753 2.451 3.294
Nb 4.106 4.089 1.681
Nb 0.831 0.827 1.681
Nb 4.100 0.820 1.680
Nb 0.837 4.096 1.680
Nb 2.475 5.742 0.000
Nb 0.837 4.096 4.907
Nb 4.100 0.820 4.907
W 5.760 5.735 3.294

=====

Record 11
2
Lattice="4.919 0.000 0.000 2.459 4.260 0.000 2.459 1.420 4.016" Properties=species:S:1:pos:R:3 comment="Ho PBE optimized geometry" e_above_lowest_polymorph_mev_per_atom=1986 ef_mev_per_atom=1986 pbc="T T T"
Ho 2.459 1.420 1.004
Ho 0.000 0.000 0.000

=====

Record 12
5
Lattice="4.658 0.000 0.000 0.000 4.658 0.000 0.000 0.000 4.658" Properties=species:S:1:pos:R:3 comment="YAlP3 PBE optimized geometry" e_above_lowest_polymorph_mev_per_atom=225 ef_mev_per_atom=-64 pbc="T T T"
P 0.000 0.000 2.329
P 2.329 0.000 0.000
P 0.000 2.329 0.000
Al 0.000 0.000 0.000
Y 2.329 2.329 2.329